The following is a GGA+U calculation of VAg3O4 after structural relaxation, from the Alexandria database.

Values from the calculation:
Final energy: -5.349 eV per atom
Excess energy over the best structure of this formula in the dataset: 19 meV/atom

Unit cell a=6.864 b=5.757 c=6.289 alpha=90.00 beta=90.00 gamma=90.00
Space group Pmn2_1 (No. 31)
Asymmetric unit:
V 0.000 0.176 0.000
Ag 0.000 0.834 0.555
Ag 0.211 0.302 0.548
O 0.000 0.181 0.275
O 0.000 0.883 0.916
O 0.213 0.319 0.907